1.
First-principles (PBE-GGA) data for a geometry-optimized LaRe4O12 structure, as listed in Alexandria.

Calculated values
Total energy   -8.560 eV/atom
Total moment   0.000 μB/f.u.
Formation energy from raw total energies   -1.841 eV per atom
Density of states at the Fermi level   20.81 states/eV per cell

a = 7.716 Å, b = 7.716 Å, c = 7.716 Å
α = 90.00°, β = 90.00°, γ = 90.00°
Space group Im-3m (No. 229)
Asymmetric unit:
La 0.000 0.000 0.000
Re 0.250 0.250 0.250
O 0.000 0.245 0.245



2.
First-principles (PBE-GGA) data for a geometry-optimized NaSr2TaS structure, as listed in Alexandria.

Calculated values
Total energy   -3.284 eV/atom
Total moment   4.230 μB/f.u.
Formation energy from raw total energies   0.848 eV per atom
Density of states at the Fermi level   4.64 states/eV per cell

a = 6.154 Å, b = 6.154 Å, c = 4.606 Å
α = 90.00°, β = 90.00°, γ = 90.00°
Space group P4/mmm (No. 123)
Asymmetric unit:
Na 0.000 0.000 0.000
Sr 0.000 0.500 0.000
Ta 0.500 0.500 0.500
S 0.000 0.000 0.500



3.
First-principles (PBE-GGA) data for a geometry-optimized Zr3ReOs structure, as listed in Alexandria.

Calculated values
Total energy   -8.746 eV/atom
Total moment   0.000 μB/f.u.
Density of states at the Fermi level   5.49 states/eV per cell
E above lowest polymorph   0.53 eV/f.u.

a = 4.948 Å, b = 4.948 Å, c = 4.948 Å
α = 90.00°, β = 90.00°, γ = 90.00°
Space group Pm-3m (No. 221)
Asymmetric unit:
Zr 0.000 0.000 0.500
Re 0.000 0.000 0.000
Os 0.500 0.500 0.500



4.
First-principles (PBE-GGA) data for a geometry-optimized KLiNp2O8 structure, as listed in Alexandria.

Calculated values
Total energy   -8.093 eV/atom
Total moment   0.000 μB/f.u.
Formation energy from raw total energies   -2.380 eV per atom

a = 5.244 Å, b = 5.255 Å, c = 7.021 Å
α = 88.05°, β = 88.04°, γ = 84.62°
Space group P-1 (No. 2)
Asymmetric unit:
K 0.000 0.000 0.000
Li 0.000 0.000 0.500
Np 0.499 0.499 0.256
O 0.232 0.757 0.725
O 0.241 0.767 0.275
O 0.334 0.333 0.482
O 0.343 0.342 0.977



Question: Among the records above, which one has the lowest total energy?
Answer: Zr3ReOs



Question: total moment of number 4 (KLiNp2O8)?
Answer: 0.000 μB/f.u.



Question: The lowest total energy belongs to which entry?
Answer: Zr3ReOs



Repeat the second record exactly.
First-principles (PBE-GGA) data for a geometry-optimized NaSr2TaS structure, as listed in Alexandria.

Calculated values
Total energy   -3.284 eV/atom
Total moment   4.230 μB/f.u.
Formation energy from raw total energies   0.848 eV per atom
Density of states at the Fermi level   4.64 states/eV per cell

a = 6.154 Å, b = 6.154 Å, c = 4.606 Å
α = 90.00°, β = 90.00°, γ = 90.00°
Space group P4/mmm (No. 123)
Asymmetric unit:
Na 0.000 0.000 0.000
Sr 0.000 0.500 0.000
Ta 0.500 0.500 0.500
S 0.000 0.000 0.500